# GaCuAu3, relaxed, DFT GGA-PBE
# V	356.8	Å³/cell
# symmetry	Cmcm, No. 63
# formation energy from the elements	-0.30	eV per formula unit
data_GaCuAu3
_space_group_name_H-M_alt 'P 1'
_space_group_IT_number 1
_space_group_name_Hall 'P 1'
_cell_length_a 7.678
_cell_length_b 6.900
_cell_length_c 6.900
_cell_angle_alpha 77.40
_cell_angle_beta 89.99
_cell_angle_gamma 89.99
loop_
_atom_site_label
_atom_site_fract_x
_atom_site_fract_y
_atom_site_fract_z
Au1 0.560 0.711 0.025
Au2 0.940 0.975 0.289
Au3 0.500 0.369 0.369
Au4 0.060 0.289 0.975
Au5 0.000 0.631 0.631
Au6 0.060 0.025 0.711
Au7 0.500 0.631 0.631
Au8 0.000 0.369 0.369
Au9 0.440 0.025 0.711
Au10 0.440 0.289 0.975
Au11 0.940 0.711 0.025
Au12 0.560 0.975 0.289
Cu1 0.750 0.637 0.363
Cu2 0.250 0.939 0.061
Cu3 0.750 0.061 0.939
Cu4 0.250 0.363 0.637
Ga1 0.250 0.866 0.444
Ga2 0.250 0.556 0.134
Ga3 0.750 0.134 0.556
Ga4 0.750 0.444 0.866